(1)
VASP calculation (GGA-PBE) on crystalline NaLiCuSe2 at its relaxed geometry.

The value obtained for the calculated total energy is -34.69 eV/cell. The value obtained for the uncorrected formation energy is -14.056 kcal/mol of atoms. Its volume is 102.2 Å³/f.u. As for the magnetization: 0.00 μB/cell. The crystal system is orthorhombic.

It has space group Pmma (No. 51), with a = 4.9806 Å, b = 6.8579 Å, c = 5.9860 Å, α = 90.00°, β = 90.00° and γ = 90.00°. The inequivalent atoms are Na at (0.2500, 0.0000, 0.1990), Li at (0.2500, 0.5000, 0.4145), Cu at (0.0000, 0.5000, 0.0000) and Se at (0.2500, 0.2631, 0.7598).

***

(2)
VASP calculation (GGA-PBE) on crystalline NaLiCuSi2 at its relaxed geometry.

The value obtained for the calculated total energy is -16.51 eV/cell. The value obtained for the uncorrected formation energy is 7.670 kcal/mol of atoms. Its volume is 103.1 Å³/f.u. As for the magnetization: 0.00 μB/cell. The crystal system is tetragonal.

It has space group P4/mmm (No. 123), with a = 4.5192 Å, b = 4.5192 Å, c = 5.0468 Å, α = 90.00°, β = 90.00° and γ = 90.00°. The inequivalent atoms are Na at (0.0000, 0.0000, 0.0000), Li at (0.5000, 0.5000, 0.0000), Cu at (0.0000, 0.0000, 0.5000) and Si at (0.0000, 0.5000, 0.5000).

***

(3)
VASP calculation (GGA-PBE) on crystalline NaLi2CuSi at its relaxed geometry.

The value obtained for the calculated total energy is -14.62 eV/cell. The value obtained for the uncorrected formation energy is 0.214 kcal/mol of atoms. Its volume is 101.5 Å³/f.u. As for the magnetization: 0.00 μB/cell. The crystal system is tetragonal.

It has space group P4/mmm (No. 123), with a = 4.8265 Å, b = 4.8265 Å, c = 4.3565 Å, α = 90.00°, β = 90.00° and γ = 90.00°. The inequivalent atoms are Na at (0.0000, 0.0000, 0.0000), Li at (0.0000, 0.5000, 0.5000), Cu at (0.5000, 0.5000, 0.5000) and Si at (0.5000, 0.5000, 0.0000).

***

(4)
VASP calculation (GGA-PBE) on crystalline NaLiCuSn at its relaxed geometry.

The value obtained for the calculated total energy is -47.66 eV/cell. Its volume is 73.0 Å³/f.u. As for the magnetization: 0.00 μB/cell. The formation energy is -3.363 kcal/mol of atoms. The crystal system is cubic.

It has space group F-43m (No. 216), with a = 6.6350 Å, b = 6.6350 Å, c = 6.6350 Å, α = 90.00°, β = 90.00° and γ = 90.00°. The inequivalent atoms are Na at (0.0000, 0.0000, 0.0000), Li at (0.2500, 0.2500, 0.7500), Cu at (0.2500, 0.2500, 0.2500) and Sn at (0.0000, 0.0000, 0.5000).

***

- Number 1 is which compound?
  NaLiCuSe2